[1]
SmYCd4 after structural relaxation, computed with PBE.

abc: 5.9409 5.9409 5.9409
angles: 60.00 60.00 60.00
Last column: nearest neighbours and their distance in Å.
Fractional coordinates of all 6 atoms:
Sm 0.0000 0.0000 0.0000  12 Cd 3.48, 4 Y 3.64
Y 0.2500 0.2500 0.2500  12 Cd 3.48, 4 Sm 3.64
Cd 0.1250 0.6250 0.6250  6 Cd 2.97
Cd 0.6250 0.1250 0.6250  6 Cd 2.97
Cd 0.6250 0.6250 0.1250  6 Cd 2.97
Cd 0.6250 0.6250 0.6250  6 Cd 2.97

Values from the calculation:
DOS(E_F) = 4.875 states/eV/f.u.

---

[2]
Sm6YCd2 after structural relaxation, computed with PBE.

abc: 9.7037 9.7037 6.2026
angles: 94.37 94.37 73.36
Last column: nearest neighbours and their distance in Å.
Fractional coordinates of all 18 atoms:
Sm 0.0704 0.8170 0.9911  3 Cd 3.21-3.43, 4 Sm 3.28-3.51
Sm 0.1483 0.4033 0.1633  3 Cd 3.32-3.39, 5 Sm 3.46-3.62, 1 Y 3.49
Sm 0.1830 0.9296 0.5089  3 Cd 3.21-3.43, 4 Sm 3.28-3.51
Sm 0.2300 0.5326 0.6868  2 Cd 3.18-3.39, 3 Sm 3.28-3.53, 2 Y 3.46-3.47
Sm 0.4033 0.1483 0.6633  3 Cd 3.32-3.39, 5 Sm 3.46-3.62, 1 Y 3.49
Sm 0.4674 0.7700 0.8132  2 Cd 3.18-3.39, 3 Sm 3.28-3.53, 2 Y 3.46-3.47
Sm 0.5326 0.2300 0.1868  2 Cd 3.18-3.39, 3 Sm 3.28-3.53, 2 Y 3.46-3.47
Sm 0.5967 0.8517 0.3367  3 Cd 3.32-3.39, 5 Sm 3.46-3.62, 1 Y 3.49
Sm 0.7700 0.4674 0.3132  2 Cd 3.18-3.39, 3 Sm 3.28-3.53, 2 Y 3.46-3.47
Sm 0.8170 0.0704 0.4911  3 Cd 3.21-3.43, 4 Sm 3.28-3.51
Sm 0.8517 0.5967 0.8367  3 Cd 3.32-3.39, 5 Sm 3.46-3.62, 1 Y 3.49
Sm 0.9296 0.1830 0.0089  3 Cd 3.21-3.43, 4 Sm 3.28-3.51
Y 0.3988 0.6012 0.2500  10 Sm 3.46-3.84
Y 0.6012 0.3988 0.7500  10 Sm 3.46-3.84
Cd 0.0410 0.2870 0.5927  8 Sm 3.18-3.43
Cd 0.2870 0.0410 0.0927  8 Sm 3.18-3.43
Cd 0.7130 0.9590 0.9073  8 Sm 3.18-3.43
Cd 0.9590 0.7130 0.4073  8 Sm 3.18-3.43

Values from the calculation:
DOS(E_F) = 10.880 states/eV/f.u.

---

[3]
Sm7YCd4 after structural relaxation, computed with PBE.

abc: 8.0153 8.0153 9.9467
angles: 119.73 119.73 42.36
Last column: nearest neighbours and their distance in Å.
Fractional coordinates of all 12 atoms:
Sm 0.0000 0.0000 0.0000  2 Y 2.90, 4 Cd 3.02-3.21
Sm 0.2363 0.2363 0.6920  4 Cd 3.04-3.24
Sm 0.2942 0.2942 0.1180  4 Cd 3.44-3.76, 6 Sm 3.51-3.85, 1 Y 3.83
Sm 0.4300 0.4300 0.5899  3 Cd 3.19-3.24, 3 Sm 3.40-3.56
Sm 0.5700 0.5700 0.4101  3 Cd 3.19-3.24, 3 Sm 3.40-3.56
Sm 0.7058 0.7058 0.8820  4 Cd 3.44-3.76, 6 Sm 3.51-3.85, 1 Y 3.83
Sm 0.7637 0.7637 0.3080  4 Cd 3.04-3.24
Y 0.5000 0.5000 0.0000  2 Sm 2.90
Cd 0.0420 0.0420 0.7158  4 Sm 3.04-3.24, 1 Cd 3.07
Cd 0.1810 0.1810 0.3422  5 Sm 3.02-3.24, 1 Cd 3.07
Cd 0.8190 0.8190 0.6578  5 Sm 3.02-3.24, 1 Cd 3.07
Cd 0.9580 0.9580 0.2842  4 Sm 3.04-3.24, 1 Cd 3.07

Values from the calculation:
DOS(E_F) = 14.329 states/eV/f.u.

---

[4]
SmYCd after structural relaxation, computed with PBE.

abc: 10.3589 5.1848 7.4092
angles: 90.00 90.00 90.00
Last column: nearest neighbours and their distance in Å.
Fractional coordinates of all 12 atoms:
Sm 0.1251 0.2500 0.0039  4 Cd 3.18-3.23
Sm 0.3749 0.7500 0.5039  4 Cd 3.18-3.23
Sm 0.6251 0.2500 0.4961  4 Cd 3.18-3.23
Sm 0.8749 0.7500 0.9961  4 Cd 3.18-3.23
Y 0.1248 0.2500 0.5036  4 Cd 3.15-3.19
Y 0.3752 0.7500 0.0036  4 Cd 3.15-3.19
Y 0.6248 0.2500 0.9964  4 Cd 3.15-3.19
Y 0.8752 0.7500 0.4964  4 Cd 3.15-3.19
Cd 0.1254 0.7500 0.2549  4 Y 3.15-3.19, 4 Sm 3.18-3.23
Cd 0.3746 0.2500 0.7549  4 Y 3.15-3.19, 4 Sm 3.18-3.23
Cd 0.6254 0.7500 0.2451  4 Y 3.15-3.19, 4 Sm 3.18-3.23
Cd 0.8746 0.2500 0.7451  4 Y 3.15-3.19, 4 Sm 3.18-3.23

Values from the calculation:
DOS(E_F) = 5.087 states/eV/f.u.

---

[5]
Sm3Y4Cd after structural relaxation, computed with PBE.

abc: 3.6089 3.6089 19.3171
angles: 90.00 90.00 90.00
Last column: nearest neighbours and their distance in Å.
Fractional coordinates of all 8 atoms:
Sm 0.0000 0.0000 0.0000  8 Y 3.61, 4 Sm 3.61
Sm 0.0000 0.0000 0.2635  8 Y 3.59-3.60, 4 Sm 3.61
Sm 0.0000 0.0000 0.7365  8 Y 3.59-3.60, 4 Sm 3.61
Y 0.5000 0.5000 0.1320  8 Sm 3.60-3.61, 4 Y 3.61
Y 0.5000 0.5000 0.3945  4 Cd 3.27, 4 Sm 3.59, 4 Y 3.61
Y 0.5000 0.5000 0.6055  4 Cd 3.27, 4 Sm 3.59, 4 Y 3.61
Y 0.5000 0.5000 0.8680  8 Sm 3.60-3.61, 4 Y 3.61
Cd 0.0000 0.0000 0.5000  8 Y 3.27, 4 Cd 3.61

Values from the calculation:
DOS(E_F) = 10.434 states/eV/f.u.

---

[6]
Sm4YCd after structural relaxation, computed with PBE.

abc: 3.6404 3.6404 14.2830
angles: 90.00 90.00 90.00
Last column: nearest neighbours and their distance in Å.
Fractional coordinates of all 6 atoms:
Sm 0.0000 0.0000 0.1464  4 Cd 3.32, 8 Sm 3.60-3.64
Sm 0.0000 0.0000 0.8536  4 Cd 3.32, 8 Sm 3.60-3.64
Sm 0.5000 0.5000 0.3229  8 Sm 3.60-3.64, 4 Y 3.61
Sm 0.5000 0.5000 0.6771  8 Sm 3.60-3.64, 4 Y 3.61
Y 0.0000 0.0000 0.5000  8 Sm 3.61, 4 Y 3.64
Cd 0.5000 0.5000 0.0000  8 Sm 3.32, 4 Cd 3.64

Values from the calculation:
DOS(E_F) = 7.489 states/eV/f.u.

---

[7]
SmYCd3 after structural relaxation, computed with PBE.

abc: 14.9079 14.9079 5.0072
angles: 90.00 90.00 166.49
Last column: nearest neighbours and their distance in Å.
Fractional coordinates of all 10 atoms:
Sm 0.0750 0.9250 0.7500  12 Cd 3.36-3.48, 2 Sm 3.51
Sm 0.9250 0.0750 0.2500  12 Cd 3.36-3.48, 2 Sm 3.51
Y 0.2143 0.7857 0.2500  7 Cd 3.24-3.26, 2 Y 3.51
Y 0.7857 0.2143 0.7500  7 Cd 3.24-3.26, 2 Y 3.51
Cd 0.3236 0.6764 0.2500  2 Cd 2.98, 5 Y 3.24-3.26
Cd 0.3782 0.6218 0.7500  3 Cd 2.90-2.98
Cd 0.4761 0.5239 0.7500  3 Cd 2.88-2.90
Cd 0.5239 0.4761 0.2500  3 Cd 2.88-2.90
Cd 0.6218 0.3782 0.2500  3 Cd 2.90-2.98
Cd 0.6764 0.3236 0.7500  2 Cd 2.98, 5 Y 3.24-3.26

Values from the calculation:
DOS(E_F) = 5.081 states/eV/f.u.

---

[8]
Sm4YCd3 after structural relaxation, computed with PBE.

abc: 9.6319 9.6319 9.6319
angles: 32.71 32.71 32.71
Last column: nearest neighbours and their distance in Å.
Fractional coordinates of all 8 atoms:
Sm 0.1160 0.1160 0.1160  5 Cd 3.17-3.40, 3 Y 3.42
Sm 0.3703 0.3703 0.3703  7 Cd 3.29-3.55, 1 Y 3.54
Sm 0.6297 0.6297 0.6297  7 Cd 3.29-3.55, 1 Y 3.54
Sm 0.8840 0.8840 0.8840  5 Cd 3.17-3.40, 3 Y 3.42
Y 0.5000 0.5000 0.5000  8 Sm 3.42-3.54, 6 Cd 3.73
Cd 0.0000 0.0000 0.0000  8 Sm 3.17-3.29
Cd 0.2405 0.2405 0.2405  8 Sm 3.20-3.55
Cd 0.7595 0.7595 0.7595  8 Sm 3.20-3.55

Values from the calculation:
DOS(E_F) = 9.730 states/eV/f.u.

---

[9]
Sm4YCd after structural relaxation, computed with PBE.

abc: 10.8435 10.8435 6.5346
angles: 90.00 90.00 149.78
Last column: nearest neighbours and their distance in Å.
Fractional coordinates of all 12 atoms:
Sm 0.0399 0.9601 0.5000  2 Cd 3.08-3.12, 1 Sm 3.22
Sm 0.1840 0.8160 0.6730  1 Cd 3.07, 4 Sm 3.15-3.33
Sm 0.2509 0.7491 0.2110  3 Sm 3.15-3.33, 1 Cd 3.18, 1 Y 3.51
Sm 0.4390 0.5610 0.3192  2 Cd 3.40, 4 Sm 3.54-3.72, 2 Y 3.60-3.64
Sm 0.5610 0.4390 0.8192  2 Cd 3.40, 4 Sm 3.54-3.72, 2 Y 3.60-3.64
Sm 0.7491 0.2509 0.7110  3 Sm 3.15-3.33, 1 Cd 3.18, 1 Y 3.51
Sm 0.8160 0.1840 0.1730  1 Cd 3.07, 4 Sm 3.15-3.33
Sm 0.9601 0.0399 0.0000  2 Cd 3.08-3.12, 1 Sm 3.22
Y 0.3647 0.6353 0.8163  2 Cd 3.31, 5 Sm 3.51-3.66
Y 0.6353 0.3647 0.3163  2 Cd 3.31, 5 Sm 3.51-3.66
Cd 0.1056 0.8944 0.0706  6 Sm 3.07-3.40, 2 Y 3.31
Cd 0.8944 0.1056 0.5706  6 Sm 3.07-3.40, 2 Y 3.31

Values from the calculation:
DOS(E_F) = 8.267 states/eV/f.u.

---

[10]
Sm4Y3Cd after structural relaxation, computed with PBE.

abc: 3.6299 3.6299 19.3294
angles: 90.00 90.00 90.00
Last column: nearest neighbours and their distance in Å.
Fractional coordinates of all 8 atoms:
Sm 0.0000 0.0000 0.1083  4 Cd 3.31, 4 Y 3.60, 4 Sm 3.63
Sm 0.0000 0.0000 0.3698  8 Y 3.60, 4 Sm 3.63
Sm 0.0000 0.0000 0.6302  8 Y 3.60, 4 Sm 3.63
Sm 0.0000 0.0000 0.8917  4 Cd 3.31, 4 Y 3.60, 4 Sm 3.63
Y 0.5000 0.5000 0.2392  8 Sm 3.60, 4 Y 3.63
Y 0.5000 0.5000 0.5000  8 Sm 3.60, 4 Y 3.63
Y 0.5000 0.5000 0.7608  8 Sm 3.60, 4 Y 3.63
Cd 0.5000 0.5000 0.0000  8 Sm 3.31, 4 Cd 3.63

Values from the calculation:
DOS(E_F) = 10.874 states/eV/f.u.

---

[11]
Sm5Y8Cd after structural relaxation, computed with PBE.

abc: 8.5602 8.5602 8.5602
angles: 103.89 103.89 121.33
Last column: nearest neighbours and their distance in Å.
Fractional coordinates of all 14 atoms:
Sm 0.0000 0.0000 0.0000  4 Y 3.66, 4 Sm 3.99
Sm 0.2152 0.4082 0.8058  3 Y 3.18-3.38, 2 Sm 3.27
Sm 0.5905 0.7848 0.1930  3 Y 3.18-3.38, 2 Sm 3.27
Sm 0.5918 0.3975 0.8070  3 Y 3.18-3.38, 2 Sm 3.27
Sm 0.6025 0.4095 0.1942  3 Y 3.18-3.38, 2 Sm 3.27
Y 0.0424 0.9558 0.4978  1 Cd 3.08, 2 Sm 3.37-3.38
Y 0.0442 0.5421 0.0867  1 Cd 3.08, 2 Sm 3.37-3.38
Y 0.4193 0.0782 0.3409  1 Sm 3.18, 1 Cd 3.22, 3 Y 3.36-3.55
Y 0.4554 0.9576 0.9133  1 Cd 3.08, 2 Sm 3.37-3.38
Y 0.4579 0.5446 0.5022  1 Cd 3.08, 2 Sm 3.37-3.38
Y 0.7373 0.0784 0.6591  1 Sm 3.18, 1 Cd 3.22, 3 Y 3.36-3.55
Y 0.9218 0.2627 0.3411  1 Sm 3.18, 1 Cd 3.22, 3 Y 3.36-3.55
Y 0.9216 0.5807 0.6589  1 Sm 3.18, 1 Cd 3.22, 3 Y 3.36-3.55
Cd 0.2500 0.7500 0.5000  8 Y 3.08-3.22

Values from the calculation:
DOS(E_F) = 20.903 states/eV/f.u.

---

[12]
Sm3YCd2 after structural relaxation, computed with PBE.

abc: 7.7097 7.7097 4.8450
angles: 90.00 90.00 142.99
Last column: nearest neighbours and their distance in Å.
Fractional coordinates of all 6 atoms:
Sm 0.0000 0.0000 0.0000  4 Cd 3.42, 4 Y 3.44, 4 Sm 3.52
Sm 0.3273 0.6727 0.0000  4 Sm 3.33-3.52, 6 Cd 3.39-3.44, 2 Y 3.50
Sm 0.6727 0.3273 0.0000  4 Sm 3.33-3.52, 6 Cd 3.39-3.44, 2 Y 3.50
Y 0.5000 0.5000 0.5000  4 Cd 3.44, 8 Sm 3.44-3.50
Cd 0.1653 0.8347 0.5000  8 Sm 3.39-3.44, 2 Y 3.44, 2 Cd 3.48
Cd 0.8347 0.1653 0.5000  8 Sm 3.39-3.44, 2 Y 3.44, 2 Cd 3.48

Values from the calculation:
DOS(E_F) = 6.829 states/eV/f.u.

---

[13]
Sm4Y3Cd after structural relaxation, computed with PBE.

abc: 11.7422 11.7422 5.9932
angles: 91.13 91.13 17.78
Last column: nearest neighbours and their distance in Å.
Fractional coordinates of all 8 atoms:
Sm 0.1170 0.1170 0.3920  2 Cd 3.34, 6 Sm 3.51-3.63, 3 Y 3.56-3.62
Sm 0.3720 0.3720 0.1070  5 Y 3.45-3.55, 6 Sm 3.51-3.63, 1 Cd 3.75
Sm 0.6280 0.6280 0.8930  5 Y 3.45-3.55, 6 Sm 3.51-3.63, 1 Cd 3.75
Sm 0.8830 0.8830 0.6080  2 Cd 3.34, 6 Sm 3.51-3.63, 3 Y 3.56-3.62
Y 0.0000 0.0000 0.0000  4 Cd 3.50, 6 Sm 3.55-3.56, 2 Y 3.63
Y 0.2536 0.2536 0.7496  6 Sm 3.45-3.79, 6 Y 3.50-3.63
Y 0.7464 0.7464 0.2504  6 Sm 3.45-3.79, 6 Y 3.50-3.63
Cd 0.5000 0.5000 0.5000  4 Sm 3.34, 4 Y 3.50, 2 Cd 3.63

Values from the calculation:
DOS(E_F) = 9.304 states/eV/f.u.

---

[14]
SmY2Cd4 after structural relaxation, computed with PBE.

abc: 7.8568 7.8568 7.8568
angles: 139.85 139.85 58.08
Last column: nearest neighbours and their distance in Å.
Fractional coordinates of all 7 atoms:
Sm 0.0000 0.0000 0.0000  8 Cd 3.14
Y 0.2621 0.2621 0.0000  8 Cd 3.17-3.36
Y 0.7379 0.7379 0.0000  8 Cd 3.17-3.36
Cd 0.1168 0.6168 0.5000  2 Sm 3.14, 4 Y 3.17-3.36, 1 Cd 3.21
Cd 0.3832 0.8832 0.5000  2 Sm 3.14, 4 Y 3.17-3.36, 1 Cd 3.21
Cd 0.6168 0.1168 0.5000  2 Sm 3.14, 4 Y 3.17-3.36, 1 Cd 3.21
Cd 0.8832 0.3832 0.5000  2 Sm 3.14, 4 Y 3.17-3.36, 1 Cd 3.21

Values from the calculation:
DOS(E_F) = 5.155 states/eV/f.u.

---

[15]
Sm7YCd2 after structural relaxation, computed with PBE.

abc: 9.2336 9.2336 5.3243
angles: 90.00 90.00 121.67
Last column: nearest neighbours and their distance in Å.
Fractional coordinates of all 10 atoms:
Sm 0.0000 0.0000 0.0000  2 Cd 3.17, 4 Sm 3.42
Sm 0.2004 0.4337 0.0000  2 Cd 3.13-3.43, 2 Sm 3.29-3.42
Sm 0.2777 0.7223 0.5000  2 Cd 2.97
Sm 0.4337 0.2004 0.0000  2 Cd 3.13-3.43, 2 Sm 3.29-3.42
Sm 0.5663 0.7996 0.0000  2 Cd 3.13-3.43, 2 Sm 3.29-3.42
Sm 0.7223 0.2777 0.5000  2 Cd 2.97
Sm 0.7996 0.5663 0.0000  2 Cd 3.13-3.43, 2 Sm 3.29-3.42
Y 0.5000 0.5000 0.5000  10 Sm 3.58-3.65
Cd 0.1968 0.8032 0.0000  5 Sm 2.97-3.17
Cd 0.8032 0.1968 0.0000  5 Sm 2.97-3.17

Values from the calculation:
DOS(E_F) = 19.462 states/eV/f.u.

---

[16]
SmY4Cd after structural relaxation, computed with PBE.

abc: 3.6083 3.6083 14.1811
angles: 90.00 90.00 90.00
Last column: nearest neighbours and their distance in Å.
Fractional coordinates of all 6 atoms:
Sm 0.0000 0.0000 0.0000  8 Y 3.59, 4 Sm 3.61
Y 0.0000 0.0000 0.3563  4 Cd 3.26, 8 Y 3.59-3.61
Y 0.0000 0.0000 0.6437  4 Cd 3.26, 8 Y 3.59-3.61
Y 0.5000 0.5000 0.1778  4 Sm 3.59, 8 Y 3.59-3.61
Y 0.5000 0.5000 0.8222  4 Sm 3.59, 8 Y 3.59-3.61
Cd 0.5000 0.5000 0.5000  8 Y 3.26, 4 Cd 3.61

Values from the calculation:
DOS(E_F) = 9.018 states/eV/f.u.

---

[17]
SmY8Cd2 after structural relaxation, computed with PBE.

abc: 8.7222 8.7222 5.6249
angles: 100.85 100.85 118.85
Last column: nearest neighbours and their distance in Å.
Fractional coordinates of all 11 atoms:
Sm 0.0000 0.0000 0.0000  8 Y 3.31-3.67
Y 0.0919 0.3206 0.6124  2 Cd 3.13-3.35, 2 Y 3.40-3.44
Y 0.2232 0.7768 0.0000  2 Cd 3.08, 1 Sm 3.35
Y 0.3206 0.0919 0.6124  2 Cd 3.13-3.35, 2 Y 3.40-3.44
Y 0.4007 0.4007 0.2021  2 Y 3.16-3.35, 2 Cd 3.31, 1 Sm 3.31
Y 0.5993 0.5993 0.7979  2 Y 3.16-3.35, 2 Cd 3.31, 1 Sm 3.31
Y 0.6794 0.9081 0.3876  2 Cd 3.13-3.35, 2 Y 3.40-3.44
Y 0.7768 0.2232 0.0000  2 Cd 3.08, 1 Sm 3.35
Y 0.9081 0.6794 0.3876  2 Cd 3.13-3.35, 2 Y 3.40-3.44
Cd 0.3067 0.6933 0.5000  8 Y 3.08-3.35
Cd 0.6933 0.3067 0.5000  8 Y 3.08-3.35

Values from the calculation:
DOS(E_F) = 15.091 states/eV/f.u.

---

[18]
SmYCd after structural relaxation, computed with PBE.

abc: 7.0286 7.0286 7.0286
angles: 149.77 149.77 43.28
Last column: nearest neighbours and their distance in Å.
Fractional coordinates of all 3 atoms:
Sm 0.0000 0.0000 0.0000  4 Cd 3.33, 4 Y 3.58, 4 Sm 3.67
Y 0.6895 0.6895 0.0000  4 Cd 3.25, 4 Sm 3.58
Cd 0.3398 0.3398 0.0000  4 Y 3.25, 4 Sm 3.33

Values from the calculation:
DOS(E_F) = 3.788 states/eV/f.u.

---

[19]
Sm4YCd5 after structural relaxation, computed with PBE.

abc: 3.8010 3.8010 19.0232
angles: 90.00 90.00 90.00
Last column: nearest neighbours and their distance in Å.
Fractional coordinates of all 10 atoms:
Sm 0.0000 0.0000 0.1007  8 Cd 3.30
Sm 0.0000 0.0000 0.3019  8 Cd 3.30-3.32
Sm 0.0000 0.0000 0.6981  8 Cd 3.30-3.32
Sm 0.0000 0.0000 0.8993  8 Cd 3.30
Y 0.0000 0.0000 0.5000  8 Cd 3.25
Cd 0.5000 0.5000 0.0000  8 Sm 3.30
Cd 0.5000 0.5000 0.2011  8 Sm 3.30
Cd 0.5000 0.5000 0.4043  4 Y 3.25, 4 Sm 3.32
Cd 0.5000 0.5000 0.5957  4 Y 3.25, 4 Sm 3.32
Cd 0.5000 0.5000 0.7989  8 Sm 3.30

Values from the calculation:
DOS(E_F) = 12.148 states/eV/f.u.

---

[20]
Sm2Y8Cd after structural relaxation, computed with PBE.

abc: 10.1322 10.1322 6.4802
angles: 94.73 94.73 32.03
Last column: nearest neighbours and their distance in Å.
Fractional coordinates of all 11 atoms:
Sm 0.2430 0.2430 0.3341  10 Y 3.45-3.87, 2 Sm 3.52
Sm 0.7570 0.7570 0.6659  10 Y 3.45-3.87, 2 Sm 3.52
Y 0.0440 0.0440 0.2622  2 Cd 3.34, 6 Y 3.58-3.74
Y 0.1537 0.1537 0.8071  6 Y 3.38-3.79, 4 Sm 3.61-3.70
Y 0.3406 0.3406 0.8749  1 Cd 3.14, 2 Sm 3.45, 2 Y 3.47
Y 0.4224 0.4224 0.3988  1 Cd 3.10, 3 Y 3.19-3.38
Y 0.5776 0.5776 0.6012  1 Cd 3.10, 3 Y 3.19-3.38
Y 0.6594 0.6594 0.1251  1 Cd 3.14, 2 Sm 3.45, 2 Y 3.47
Y 0.8463 0.8463 0.1929  6 Y 3.38-3.79, 4 Sm 3.61-3.70
Y 0.9560 0.9560 0.7378  2 Cd 3.34, 6 Y 3.58-3.74
Cd 0.5000 0.5000 0.0000  8 Y 3.10-3.34

Values from the calculation:
DOS(E_F) = 18.286 states/eV/f.u.

---

What are the formation energy values for these records? In order: -280; -62; -13; 81; -73; -93; -312; -177; 35; -61; 143; -135; -29; -169; 388; -99; 20; -204; -322; -20 meV/atom.